[1]
Computed, not measured: an optimized crystal structure of TbTiNi2 at the PBE level of DFT.

Output
SG: R-3m (166)
Volume in A^3/atom: 17.7
Offset from the most stable computed form in eV/atom: 0.000

a = 4.1882 Å, b = 4.1882 Å, c = 5.2503 Å
α = 66.49°, β = 66.49°, γ = 60.00°
Positions (direct):
Ni1 0.7049 0.7049 0.8853
Ni2 0.2951 0.2951 0.1147
Tb1 0.5000 0.5000 0.5000
Ti1 0.0000 0.0000 0.0000

[2]
Computed, not measured: an optimized crystal structure of TbTiNi2 at the PBE level of DFT.

Output
SG: Fm-3m (225)
Volume in A^3/atom: 16.5
Offset from the most stable computed form in eV/atom: 0.148

a = 4.5364 Å, b = 4.5364 Å, c = 4.5364 Å
α = 60.00°, β = 60.00°, γ = 60.00°
Positions (direct):
Ni1 0.2500 0.2500 0.2500
Ni2 0.7500 0.7500 0.7500
Tb1 0.0000 0.0000 0.0000
Ti1 0.5000 0.5000 0.5000

[3]
Computed, not measured: an optimized crystal structure of TbTiNi2 at the PBE level of DFT.

Output
SG: P4/mmm (123)
Volume in A^3/atom: 16.4
Offset from the most stable computed form in eV/atom: 0.021

a = 3.1080 Å, b = 3.1080 Å, c = 6.7750 Å
α = 90.00°, β = 90.00°, γ = 90.00°
Positions (direct):
Ni1 0.0000 0.0000 0.8052
Ni2 0.0000 0.0000 0.1948
Tb1 0.5000 0.5000 0.5000
Ti1 0.5000 0.5000 0.0000

[4]
Computed, not measured: an optimized crystal structure of TbTiZnNi at the PBE level of DFT.

Output
SG: F-43m (216)
Volume in A^3/atom: 18.0

a = 4.6697 Å, b = 4.6697 Å, c = 4.6697 Å
α = 60.00°, β = 60.00°, γ = 60.00°
Last column: magnetic moment on the atom in μB.
Positions (direct):
Ni1 0.5000 0.5000 0.5000  0.14
Zn1 0.0000 0.0000 0.0000  0.01
Tb1 0.7500 0.7500 0.7500  0.12
Ti1 0.2500 0.2500 0.2500  0.75

[5]
Computed, not measured: an optimized crystal structure of Tb6TlNi at the PBE level of DFT.

Output
SG: C2/m (12)
Volume in A^3/atom: 30.3

a = 6.3563 Å, b = 7.8040 Å, c = 6.3826 Å
α = 52.31°, β = 80.97°, γ = 75.12°
Positions (direct):
Tb1 0.7846 0.5720 0.6217
Tb2 0.7846 0.1937 0.3783
Tb3 0.2154 0.8063 0.6217
Tb4 0.2154 0.4280 0.3783
Tb5 0.6452 0.7788 0.0000
Tb6 0.3548 0.2212 0.0000
Tl1 0.0000 0.0000 0.0000
Ni1 0.5000 0.5000 0.0000

[6]
Computed, not measured: an optimized crystal structure of Tb4TlNi at the PBE level of DFT.

Output
SG: P2_1/c (14)
Volume in A^3/atom: 29.8
Offset from the most stable computed form in eV/atom: 0.183

a = 6.8595 Å, b = 7.2474 Å, c = 7.2256 Å
α = 90.00°, β = 94.67°, γ = 90.00°
Positions (direct):
Tb1 0.9009 0.6403 0.1834
Tb2 0.5991 0.1403 0.8166
Tb3 0.3155 0.3302 0.3605
Tb4 0.1845 0.8302 0.6395
Tb5 0.0991 0.3597 0.8166
Tb6 0.4009 0.8597 0.1834
Tb7 0.6845 0.6698 0.6395
Tb8 0.8155 0.1698 0.3605
Tl1 0.0000 0.0000 0.0000
Tl2 0.5000 0.5000 0.0000
Ni1 0.5000 0.0000 0.5000
Ni2 0.0000 0.5000 0.5000

[7]
Computed, not measured: an optimized crystal structure of Tb7TlNi2 at the PBE level of DFT.

Output
SG: Cmmm (65)
Volume in A^3/atom: 30.3

a = 4.9400 Å, b = 8.1811 Å, c = 8.1811 Å
α = 113.56°, β = 90.00°, γ = 90.00°
Positions (direct):
Tb1 0.0000 0.7063 0.2937
Tb2 0.0000 0.2937 0.7063
Tb3 0.5000 0.0535 0.3132
Tb4 0.5000 0.9465 0.6868
Tb5 0.5000 0.3132 0.0535
Tb6 0.5000 0.6868 0.9465
Tb7 0.5000 0.5000 0.5000
Tl1 0.0000 0.0000 0.0000
Ni1 0.5000 0.7040 0.2960
Ni2 0.5000 0.2960 0.7040

[8]
Computed, not measured: an optimized crystal structure of Tb4TlNi at the PBE level of DFT.

Output
SG: F-43m (216)
Volume in A^3/atom: 26.6
Offset from the most stable computed form in eV/atom: 0.000

a = 9.6614 Å, b = 9.6614 Å, c = 9.6614 Å
α = 60.00°, β = 60.00°, γ = 60.00°
Positions (direct):
Tb1 0.4018 0.4018 0.4018
Tb2 0.7947 0.4018 0.4018
Tb3 0.4018 0.7947 0.4018
Tb4 0.4018 0.4018 0.7947
Tb5 0.5629 0.5629 0.9371
Tb6 0.9371 0.9371 0.5629
Tb7 0.5629 0.9371 0.5629
Tb8 0.9371 0.5629 0.9371
Tb9 0.9371 0.5629 0.5629
Tb10 0.5629 0.9371 0.9371
Tb11 0.1884 0.1884 0.8116
Tb12 0.8116 0.8116 0.1884
Tb13 0.1884 0.8116 0.1884
Tb14 0.8116 0.1884 0.8116
Tb15 0.8116 0.1884 0.1884
Tb16 0.1884 0.8116 0.8116
Tl1 0.1648 0.1648 0.1648
Tl2 0.5054 0.1648 0.1648
Tl3 0.1648 0.5054 0.1648
Tl4 0.1648 0.1648 0.5054
Ni1 0.6072 0.6072 0.6072
Ni2 0.1785 0.6072 0.6072
Ni3 0.6072 0.1785 0.6072
Ni4 0.6072 0.6072 0.1785

[9]
Computed, not measured: an optimized crystal structure of Tb12Tl6Ni at the PBE level of DFT.

Output
SG: R-3 (148)
Volume in A^3/atom: 30.2

a = 8.3294 Å, b = 8.3294 Å, c = 8.3294 Å
α = 93.86°, β = 93.86°, γ = 93.86°
Positions (direct):
Tb1 0.7973 0.5740 0.4581
Tb2 0.4581 0.7973 0.5740
Tb3 0.5740 0.4581 0.7973
Tb4 0.2027 0.4260 0.5419
Tb5 0.5419 0.2027 0.4260
Tb6 0.4260 0.5419 0.2027
Tb7 0.9728 0.0886 0.3107
Tb8 0.9114 0.6893 0.0272
Tb9 0.6893 0.0272 0.9114
Tb10 0.0272 0.9114 0.6893
Tb11 0.0886 0.3107 0.9728
Tb12 0.3107 0.9728 0.0886
Tl1 0.6513 0.8618 0.2635
Tl2 0.7365 0.3487 0.1382
Tl3 0.1382 0.7365 0.3487
Tl4 0.3487 0.1382 0.7365
Tl5 0.2635 0.6513 0.8618
Tl6 0.8618 0.2635 0.6513
Ni1 0.0000 0.0000 0.0000

[10]
Computed, not measured: an optimized crystal structure of TbTlNi2 at the PBE level of DFT.

Output
SG: Fm-3m (225)
Volume in A^3/atom: 17.7

a = 4.6448 Å, b = 4.6448 Å, c = 4.6448 Å
α = 60.00°, β = 60.00°, γ = 60.00°
Positions (direct):
Ni1 0.2500 0.2500 0.2500
Ni2 0.7500 0.7500 0.7500
Tl1 0.5000 0.5000 0.5000
Tb1 0.0000 0.0000 0.0000

[11]
Computed, not measured: an optimized crystal structure of Tb6Tl3Ni at the PBE level of DFT.

Output
SG: P2_1/c (14)
Volume in A^3/atom: 28.9

a = 6.1742 Å, b = 8.8602 Å, c = 10.5761 Å
α = 90.00°, β = 86.73°, γ = 90.00°
Positions (direct):
Tb1 0.6231 0.1577 0.9415
Tb2 0.5921 0.1971 0.5646
Tb3 0.6314 0.4493 0.2734
Tb4 0.3686 0.5507 0.7266
Tb5 0.4079 0.8029 0.4354
Tb6 0.3769 0.8423 0.0585
Tb7 0.1231 0.3423 0.4415
Tb8 0.0921 0.3029 0.0646
Tb9 0.1314 0.0507 0.7734
Tb10 0.8686 0.9493 0.2266
Tb11 0.9079 0.6971 0.9354
Tb12 0.8769 0.6577 0.5585
Tl1 0.5898 0.8852 0.7379
Tl2 0.5000 0.5000 0.0000
Tl3 0.4102 0.1148 0.2621
Tl4 0.0898 0.6148 0.2379
Tl5 0.0000 0.0000 0.5000
Tl6 0.9102 0.3852 0.7621
Ni1 0.5000 0.5000 0.5000
Ni2 0.0000 0.0000 0.0000

[12]
Computed, not measured: an optimized crystal structure of Tb6Tl2Ni at the PBE level of DFT.

Output
SG: P2_1/c (14)
Volume in A^3/atom: 29.1

a = 7.2219 Å, b = 7.1022 Å, c = 10.2167 Å
α = 90.00°, β = 90.58°, γ = 90.00°
Positions (direct):
Tb1 0.9308 0.9979 0.2476
Tb2 0.7827 0.7186 0.5328
Tb3 0.7877 0.7233 0.9666
Tb4 0.7123 0.2233 0.5334
Tb5 0.7173 0.2186 0.9672
Tb6 0.5692 0.4979 0.2524
Tb7 0.0692 0.0021 0.7524
Tb8 0.2173 0.2814 0.4672
Tb9 0.2123 0.2767 0.0334
Tb10 0.2877 0.7767 0.4666
Tb11 0.2827 0.7814 0.0328
Tb12 0.4308 0.5021 0.7476
Tl1 0.9920 0.4695 0.7527
Tl2 0.5080 0.9695 0.7473
Tl3 0.4920 0.0305 0.2527
Tl4 0.0080 0.5305 0.2473
Ni1 0.5000 0.5000 0.0000
Ni2 0.0000 0.0000 0.5000

| no. | total magnetic moment (μB per atom) | E_form (meV per atom) |
| --- | --- | --- |
| 1 | 0.000 | -366 |
| 2 | 0.000 | -218 |
| 3 | 0.000 | -345 |
| 4 | 0.303 | -134 |
| 5 | 0.000 | -10 |
| 6 | 0.000 | -121 |
| 7 | 0.000 | -46 |
| 8 | 0.000 | -305 |
| 9 | 0.000 | -165 |
| 10 | 0.000 | -187 |
| 11 | 0.000 | -221 |
| 12 | 0.000 | -199 |